[1]
Entry from Alexandria: TmPaPdPb after structural relaxation (PBE).

```
TmPaPdPb
1.0
-1.496 -4.066 -2.874
-0.803 -4.618 2.249
-4.832 -1.866 0.453
Tm Pd Pa Pb
1 1 1 1
Direct
0.750 0.750 0.750
0.000 0.000 0.000
0.250 0.250 0.250
0.500 0.500 0.500
```

Space-group type: F-43m, No. 216
E_form (eV/atom): -0.19
E_tot (eV per atom): -5.906

[2]
Entry from Alexandria: PaZnPdPb after structural relaxation (PBE).

```
PaZnPdPb
1.0
-1.468 -2.256 -4.129
2.278 -4.102 -1.510
-2.318 -4.342 0.255
Pd Pa Zn Pb
1 1 1 1
Direct
0.500 0.500 0.500
0.250 0.250 0.250
0.000 0.000 0.000
0.750 0.750 0.750
```

Space-group type: F-43m, No. 216
E_form (eV/atom): -0.19
E_tot (eV per atom): -5.108

[3]
Entry from Alexandria: PmPa2Pb9 after structural relaxation (PBE).

```
PmPa2Pb9
1.0
4.838 0.000 0.000
0.000 4.838 0.000
0.000 0.000 14.599
Pb Pa Pm
9 2 1
Direct
0.000 0.500 0.171
0.500 0.500 0.665
0.000 0.500 0.500
0.500 0.000 0.171
0.000 0.500 0.829
0.500 0.000 0.829
0.500 0.500 0.335
0.500 0.000 0.500
0.500 0.500 0.000
0.000 0.000 0.661
0.000 0.000 0.339
0.000 0.000 0.000
```

Space-group type: P4/mmm, No. 123
E_form (eV/atom): -0.12
E_tot (eV per atom): -4.877

[4]
Entry from Alexandria: PmPaPtPb after structural relaxation (PBE).

```
PmPaPtPb
1.0
5.262 0.000 0.000
2.631 4.557 0.000
2.631 1.519 4.296
Pb Pa Pm Pt
1 1 1 1
Direct
0.000 0.000 0.000
0.750 0.750 0.750
0.250 0.250 0.250
0.500 0.500 0.500
```

Space-group type: F-43m, No. 216
E_form (eV/atom): -0.31
E_tot (eV per atom): -6.306

[5]
Entry from Alexandria: PmPaPb2S6 after structural relaxation (PBE).

```
PmPaPb2S6
1.0
7.257 0.000 0.000
3.629 6.285 0.000
3.628 2.095 6.210
Pm S Pb Pa
1 6 2 1
Direct
0.817 0.817 0.548
0.108 0.447 0.767
0.447 0.678 0.767
0.585 0.186 0.258
0.186 0.971 0.258
0.971 0.585 0.258
0.678 0.108 0.767
0.022 0.022 0.933
0.526 0.526 0.423
0.321 0.321 0.037
```

Uncorrected formation energy (meV per atom): -1259
Space-group type: R3, No. 146
E_tot (eV per atom): -5.901

[6]
Entry from Alexandria: PmPaSbPb after structural relaxation (PBE).

```
PmPaSbPb
1.0
-2.346 0.155 -4.881
2.889 -1.164 -4.433
-0.927 -4.600 -2.708
Sb Pa Pm Pb
1 1 1 1
Direct
0.000 0.000 0.000
0.250 0.250 0.250
0.750 0.750 0.750
0.500 0.500 0.500
```

Uncorrected formation energy (meV per atom): -319
Space-group type: F-43m, No. 216
E_tot (eV per atom): -5.838

[7]
Entry from Alexandria: PmSmPaPb after structural relaxation (PBE).

```
PmSmPaPb
1.0
5.475 0.000 0.000
2.738 4.742 0.000
2.738 1.581 4.470
Pm Pa Pb Sm
1 1 1 1
Direct
0.750 0.750 0.750
0.000 0.000 0.000
0.500 0.500 0.500
0.250 0.250 0.250
```

Space-group type: F-43m, No. 216
E_form (eV/atom): 0.15
E_tot (eV per atom): -5.520

[8]
Entry from Alexandria: PmPaSnPb after structural relaxation (PBE).

```
PmPaSnPb
1.0
5.431 0.000 0.000
2.716 4.704 0.000
2.716 1.568 4.435
Pb Pm Sn Pa
1 1 1 1
Direct
0.250 0.250 0.250
0.500 0.500 0.500
0.750 0.750 0.750
0.000 0.000 0.000
```

Space-group type: F-43m, No. 216
E_form (eV/atom): -0.18
E_tot (eV per atom): -5.666